1.
Density functional theory data (PBE-GGA) for crystalline NaRe3O at its relaxed geometry.

## Properties
M_tot: 3.4 μB/cell
raw formation energy: 3.929 eV per atom
calculated total energy: -4.7958 eV/atom

```
data_NaRe3O
_cell_length_a 4.498
_cell_length_b 4.498
_cell_length_c 4.498
_cell_angle_alpha 90.00
_cell_angle_beta 90.00
_cell_angle_gamma 90.00
_symmetry_space_group_name_H-M 'P m -3 m'
_symmetry_Int_Tables_number 221
_symmetry_space_group_name_Hall '-P 4 2 3'
loop_
_atom_site_label
_atom_site_type_symbol
_atom_site_fract_x
_atom_site_fract_y
_atom_site_fract_z
Na1 Na 0.000 0.000 0.000
Re1 Re 0.000 0.000 0.500
O1 O 0.500 0.500 0.500
```

2.
Density functional theory data (PBE-GGA) for crystalline SrCaSbBr at its relaxed geometry.

## Properties
M_tot: 0.0 μB/cell
raw formation energy: -1.288 eV per atom
calculated total energy: -3.6574 eV/atom

```
data_SrCaSbBr
_cell_length_a 7.901
_cell_length_b 7.901
_cell_length_c 7.901
_cell_angle_alpha 90.00
_cell_angle_beta 90.00
_cell_angle_gamma 90.00
_symmetry_space_group_name_H-M 'F -4 3 m'
_symmetry_Int_Tables_number 216
_symmetry_space_group_name_Hall 'F -4 2 3'
loop_
_atom_site_label
_atom_site_type_symbol
_atom_site_fract_x
_atom_site_fract_y
_atom_site_fract_z
Sr1 Sr 0.000 0.000 0.000
Ca1 Ca 0.000 0.000 0.500
Sb1 Sb 0.250 0.250 0.250
Br1 Br 0.250 0.250 0.750
```